VASP calculation (PBE+U) on PmCr2AsO8 after structural relaxation.

Output
mass density = 5.2 g/cm³
VASP energy = -7.053 eV per atom

```
data_PmCr2AsO8
_cell_length_a 7.2850
_cell_length_b 6.0231
_cell_length_c 6.7224
_cell_angle_alpha 90.00
_cell_angle_beta 99.50
_cell_angle_gamma 90.00
_symmetry_space_group_name_H-M 'C 1 2/m 1'
_symmetry_Int_Tables_number 12
loop_
_symmetry_equiv_pos_as_xyz
'x,y,z'
'-x,-y,-z'
'-x,y,-z'
'x,-y,z'
'x+1/2,y+1/2,z'
'-x+1/2,-y+1/2,-z'
'-x+1/2,y+1/2,-z'
'x+1/2,-y+1/2,z'
loop_
_atom_site_label
_atom_site_type_symbol
_atom_site_fract_x
_atom_site_fract_y
_atom_site_fract_z
Pm1 Pm 0.0000 0.0000 0.0000
Cr1 Cr 0.0652 0.5000 0.2382
As1 As 0.0000 0.0000 0.5000
O1 O 0.0120 0.2159 0.7129
O2 O 0.1707 0.5000 0.0144
O3 O 0.2476 0.0000 0.5347
```